Crystalline Pm19Dy6Ho4 at its relaxed geometry, computed with PBE-GGA.

CIF file:
```
data_Pm19Dy6Ho4
_chemical_formula_sum 'Pm38 Dy12 Ho8'
_cell_length_a 12.617
_cell_length_b 12.617
_cell_length_c 12.617
_cell_angle_alpha 90.00
_cell_angle_beta 90.00
_cell_angle_gamma 90.00
_space_group_name_H-M_alt 'I 2 3'
_space_group_IT_number 197
_space_group_name_Hall 'I 2 2 3'
loop_
_atom_site_label
_atom_site_fract_x
_atom_site_fract_y
_atom_site_fract_z
Pm1 0.000 0.000 0.000
Pm2 0.000 0.000 0.259
Pm3 0.062 0.262 0.281
Dy1 0.000 0.375 0.500
Ho1 0.180 0.180 0.820
```

=====

Crystalline Pm8Dy3Ho2 at its relaxed geometry, computed with PBE-GGA.

CIF file:
```
data_Pm8Dy3Ho2
_chemical_formula_sum 'Pm16 Dy6 Ho4'
_cell_length_a 20.309
_cell_length_b 7.707
_cell_length_c 5.717
_cell_angle_alpha 90.00
_cell_angle_beta 90.02
_cell_angle_gamma 90.00
_space_group_name_H-M_alt 'C 1 2/m 1'
_space_group_IT_number 12
loop_
_space_group_symop_operation_xyz
'x,y,z'
'-x,-y,-z'
'-x,y,-z'
'x,-y,z'
'x+1/2,y+1/2,z'
'-x+1/2,-y+1/2,-z'
'-x+1/2,y+1/2,-z'
'x+1/2,-y+1/2,z'
loop_
_atom_site_label
_atom_site_fract_x
_atom_site_fract_y
_atom_site_fract_z
Pm1 0.106 0.206 0.000
Pm2 0.132 0.500 0.500
Pm3 0.172 0.000 0.501
Dy1 0.000 0.214 0.500
Dy2 0.000 0.500 0.000
Ho1 0.240 0.500 0.999
```

=====

Crystalline Pm2Dy5Ho6 at its relaxed geometry, computed with PBE-GGA.

CIF file:
```
data_Pm2Dy5Ho6
_chemical_formula_sum 'Pm4 Dy10 Ho12'
_cell_length_a 11.645
_cell_length_b 20.165
_cell_length_c 3.571
_cell_angle_alpha 90.00
_cell_angle_beta 90.00
_cell_angle_gamma 90.00
_space_group_name_H-M_alt 'P b a m'
_space_group_IT_number 55
loop_
_space_group_symop_operation_xyz
'x,y,z'
'-x,-y,-z'
'-x,-y,z'
'x,y,-z'
'x+1/2,-y+1/2,-z'
'-x+1/2,y+1/2,z'
'-x+1/2,y+1/2,-z'
'x+1/2,-y+1/2,z'
loop_
_atom_site_label
_atom_site_fract_x
_atom_site_fract_y
_atom_site_fract_z
Pm1 0.168 0.214 0.000
Dy1 0.000 0.500 0.500
Dy2 0.091 0.777 0.500
Dy3 0.199 0.051 0.500
Ho1 0.059 0.921 0.000
Ho2 0.080 0.633 0.000
Ho3 0.177 0.371 0.500
```

=====

Crystalline Pm9Dy4Ho11 at its relaxed geometry, computed with PBE-GGA.

CIF file:
```
data_Pm9Dy4Ho11
_chemical_formula_sum 'Pm18 Dy8 Ho22'
_cell_length_a 16.723
_cell_length_b 25.377
_cell_length_c 3.701
_cell_angle_alpha 90.00
_cell_angle_beta 90.00
_cell_angle_gamma 90.00
_space_group_name_H-M_alt 'C m m m'
_space_group_IT_number 65
_space_group_name_Hall '-C 2 2'
loop_
_atom_site_label
_atom_site_fract_x
_atom_site_fract_y
_atom_site_fract_z
Pm1 0.000 0.000 0.000
Pm2 0.103 0.234 0.000
Pm3 0.140 0.426 0.000
Dy1 0.155 0.100 0.000
Ho1 0.000 0.133 0.500
Ho2 0.000 0.339 0.500
Ho3 0.000 0.500 0.500
Ho4 0.210 0.000 0.500
Ho5 0.226 0.320 0.500
```

=====

Crystalline Pm5DyHo2 at its relaxed geometry, computed with PBE-GGA.

CIF file:
```
data_Pm5DyHo2
_chemical_formula_sum 'Pm20 Dy4 Ho8'
_cell_length_a 6.434
_cell_length_b 25.623
_cell_length_c 6.581
_cell_angle_alpha 90.00
_cell_angle_beta 95.27
_cell_angle_gamma 90.00
_space_group_name_H-M_alt 'C 1 2/c 1'
_space_group_IT_number 15
loop_
_space_group_symop_operation_xyz
'x,y,z'
'-x,-y,-z'
'-x,y,-z+1/2'
'x,-y,z+1/2'
'x+1/2,y+1/2,z'
'-x+1/2,-y+1/2,-z'
'-x+1/2,y+1/2,-z+1/2'
'x+1/2,-y+1/2,z+1/2'
loop_
_atom_site_label
_atom_site_fract_x
_atom_site_fract_y
_atom_site_fract_z
Pm1 0.000 0.124 0.250
Pm2 0.187 0.315 0.997
Pm3 0.243 0.402 0.316
Dy1 0.000 0.453 0.750
Ho1 0.000 0.000 0.000
Ho2 0.250 0.250 0.500
```

=====

Crystalline Pm3Dy8Ho at its relaxed geometry, computed with PBE-GGA.

CIF file:
```
data_Pm3Dy8Ho
_chemical_formula_sum 'Pm6 Dy16 Ho2'
_cell_length_a 6.461
_cell_length_b 11.277
_cell_length_c 11.438
_cell_angle_alpha 90.00
_cell_angle_beta 90.00
_cell_angle_gamma 90.00
_space_group_name_H-M_alt 'I m m m'
_space_group_IT_number 71
_space_group_name_Hall '-I 2 2'
loop_
_atom_site_label
_atom_site_fract_x
_atom_site_fract_y
_atom_site_fract_z
Pm1 0.000 0.000 0.000
Pm2 0.000 0.500 0.247
Dy1 0.000 0.168 0.251
Dy2 0.248 0.255 0.000
Ho1 0.000 0.000 0.500
```

=====

Crystalline Pm3DyHo2 at its relaxed geometry, computed with PBE-GGA.

CIF file:
```
data_Pm3DyHo2
_chemical_formula_sum 'Pm12 Dy4 Ho8'
_cell_length_a 17.855
_cell_length_b 7.234
_cell_length_c 6.270
_cell_angle_alpha 90.00
_cell_angle_beta 103.54
_cell_angle_gamma 90.00
_space_group_name_H-M_alt 'C 1 2/c 1'
_space_group_IT_number 15
loop_
_space_group_symop_operation_xyz
'x,y,z'
'-x,-y,-z'
'-x,y,-z+1/2'
'x,-y,z+1/2'
'x+1/2,y+1/2,z'
'-x+1/2,-y+1/2,-z'
'-x+1/2,y+1/2,-z+1/2'
'x+1/2,-y+1/2,z+1/2'
loop_
_atom_site_label
_atom_site_fract_x
_atom_site_fract_y
_atom_site_fract_z
Pm1 0.000 0.127 0.250
Pm2 0.167 0.125 0.027
Dy1 0.000 0.377 0.750
Ho1 0.166 0.376 0.529
```

=====

Crystalline Pm2Dy5Ho3 at its relaxed geometry, computed with PBE-GGA.

CIF file:
```
data_Pm2Dy5Ho3
_chemical_formula_sum 'Pm8 Dy20 Ho12'
_cell_length_a 9.347
_cell_length_b 21.666
_cell_length_c 6.780
_cell_angle_alpha 90.00
_cell_angle_beta 90.00
_cell_angle_gamma 90.00
_space_group_name_H-M_alt 'I b a m'
_space_group_IT_number 72
_space_group_name_Hall '-I 2 2c'
loop_
_atom_site_label
_atom_site_fract_x
_atom_site_fract_y
_atom_site_fract_z
Pm1 0.101 0.125 0.000
Dy1 0.000 0.251 0.250
Dy2 0.000 0.500 0.250
Dy3 0.090 0.375 0.500
Ho1 0.000 0.000 0.250
Ho2 0.250 0.125 0.500
```

=====

Number 1: ΔE_f 0.36 eV/atom. Number 2: ΔE_f 0.21 eV/atom. Number 3: ΔE_f 0.10 eV/atom. Number 4: ΔE_f 0.05 eV/atom. Number 5: ΔE_f 0.28 eV/atom. Number 6: ΔE_f 0.30 eV/atom. Number 7: ΔE_f 0.00 eV/atom. Number 8: ΔE_f 0.41 eV/atom.